Pr6GaPb2: relaxed, PBE-GGA.

The space group is P-62m (No. 189) and the conventional cell measures 8.6666, 8.6666 and 4.5208 Å, with angles of 90.00, 90.00 and 120.00 degrees. The inequivalent atoms are Pr at (0.0000, 0.4082, 0.0000), Pr at (0.0000, 0.7533, 0.5000), Ga at (0.0000, 0.0000, 0.0000) and Pb at (0.3333, 0.6667, 0.5000).

The volume is 32.7 A^3/atom. The final energy comes out at -0.3512 Ry/atom. The value obtained for the formation energy is -0.43 eV/atom. For the density of states at the Fermi level, the calculation gives 8.5 states/eV/cell.



PrGaPb: relaxed, PBE-GGA.

The space group is Cmcm (No. 63) and the conventional cell measures 6.173, 8.593 and 6.392 Å, with angles of 90.00, 90.00 and 90.00 degrees. The inequivalent atoms are Pr at (0.000, 0.178, 0.250), Ga at (0.000, 0.500, 0.000) and Pb at (0.000, 0.194, 0.750).

The volume is 28.3 A^3/atom. The final energy comes out at -0.3064 Ry/atom. The value obtained for the formation energy is -0.33 eV/atom. For the density of states at the Fermi level, the calculation gives 5.2 states/eV/cell.



PrGa2Pb: relaxed, PBE-GGA.

The space group is P4/mmm (No. 123) and the conventional cell measures 4.658, 4.658 and 4.485 Å, with angles of 90.00, 90.00 and 90.00 degrees. The inequivalent atoms are Pr at (0.000, 0.000, 0.000), Ga at (0.000, 0.500, 0.500) and Pb at (0.500, 0.500, 0.000).

The volume is 24.3 A^3/atom. The final energy comes out at -0.2980 Ry/atom. The value obtained for the formation energy is -0.42 eV/atom. For the density of states at the Fermi level, the calculation gives 2.4 states/eV/cell.



PrGaPb2: relaxed, PBE-GGA.

The space group is P4/mmm (No. 123) and the conventional cell measures 4.729, 4.729 and 4.913 Å, with angles of 90.00, 90.00 and 90.00 degrees. The inequivalent atoms are Pr at (0.000, 0.000, 0.000), Ga at (0.500, 0.500, 0.000) and Pb at (0.000, 0.500, 0.500).

The volume is 27.5 A^3/atom. The final energy comes out at -0.3086 Ry/atom. The value obtained for the formation energy is -0.39 eV/atom. For the density of states at the Fermi level, the calculation gives 1.3 states/eV/cell.



PrGaPb: relaxed, PBE-GGA.

The space group is I4mm (No. 107) and the conventional cell measures 4.434, 4.434 and 8.964 Å, with angles of 90.00, 90.00 and 90.00 degrees. The inequivalent atoms are Pr at (0.000, 0.000, 0.000), Ga at (0.000, 0.000, 0.336) and Pb at (0.000, 0.000, 0.651).

The volume is 29.4 A^3/atom. The final energy comes out at -0.2990 Ry/atom. The value obtained for the formation energy is -0.23 eV/atom. For the density of states at the Fermi level, the calculation gives 3.3 states/eV/cell.



Pr6Ga3Pb: relaxed, PBE-GGA.

The space group is P2_1/c (No. 14) and the conventional cell measures 8.198, 8.069 and 12.297 Å, with angles of 90.00, 129.88 and 90.00 degrees. The inequivalent atoms are Pr at (0.000, 0.096, 0.241), Pr at (0.221, 0.668, 0.072), Pr at (0.395, 0.154, 0.073), Ga at (0.000, 0.000, 0.000), Ga at (0.295, 0.147, 0.753) and Pb at (0.500, 0.000, 0.500).

The volume is 31.2 A^3/atom. The final energy comes out at -0.3266 Ry/atom. The value obtained for the formation energy is -0.30 eV/atom. For the density of states at the Fermi level, the calculation gives 20.0 states/eV/cell.